{"formula": "Nb4Hg", "functional": "PBE", "state": "relaxed", "cell": [[4.991, 0.000, 0.000], [0.000, 4.991, 0.000], [0.000, 0.000, 4.991]], "species": ["Nb", "Nb", "Nb", "Nb", "Hg"], "frac_coords": [[0.000, 0.000, 0.000], [0.500, 0.000, 0.500], [0.000, 0.500, 0.500], [0.500, 0.500, 0.000], [0.500, 0.500, 0.500]], "dft_energy_ev_per_atom": -6.040}

---

{"formula": "Nd2NbHg", "functional": "PBE", "state": "relaxed", "cell": [[3.289, 0.000, 0.000], [1.644, 2.848, 0.000], [1.644, 0.949, 11.504]], "species": ["Nb", "Nd", "Nd", "Hg"], "frac_coords": [[0.000, 0.000, 0.000], [0.086, 0.086, 0.743], [0.914, 0.914, 0.257], [0.500, 0.500, 0.500]], "dft_energy_ev_per_atom": -4.510}

---

{"formula": "NbNiHg", "functional": "PBE", "state": "relaxed", "cell": [[-0.238, -2.573, -1.306], [2.801, -1.764, 2.962], [-6.222, -1.181, 5.180]], "species": ["Nb", "Nb", "Ni", "Ni", "Hg", "Hg"], "frac_coords": [[0.848, 0.250, 0.407], [0.152, 0.750, 0.593], [0.564, 0.250, 0.695], [0.436, 0.750, 0.305], [0.273, 0.250, 0.089], [0.727, 0.750, 0.911]], "dft_energy_ev_per_atom": -5.247}

---

{"formula": "NbNiHg", "functional": "PBE", "state": "relaxed", "cell": [[2.911, 0.004, 0.016], [1.426, 5.108, 0.020], [0.081, 2.545, 6.840]], "species": ["Nb", "Nb", "Ni", "Ni", "Hg", "Hg"], "frac_coords": [[0.174, 0.732, 0.523], [0.826, 0.268, 0.477], [0.463, 0.091, 0.230], [0.537, 0.909, 0.770], [0.860, 0.319, 0.879], [0.140, 0.681, 0.121]], "dft_energy_ev_per_atom": -5.276}

---

{"formula": "NbNiHg", "functional": "PBE", "state": "relaxed", "cell": [[4.509, 0.000, 0.000], [-2.255, 3.905, 0.000], [0.000, 0.000, 2.801]], "species": ["Nb", "Ni", "Hg"], "frac_coords": [[0.667, 0.333, 0.000], [0.000, 0.000, 0.500], [0.333, 0.667, 0.500]], "dft_energy_ev_per_atom": -5.220}

---

{"formula": "NbNi2Hg", "functional": "PBE", "state": "relaxed", "cell": [[6.916, 0.000, 0.000], [0.000, 6.916, 0.000], [3.458, 3.458, 2.794]], "species": ["Ni", "Ni", "Ni", "Ni", "Nb", "Nb", "Hg", "Hg"], "frac_coords": [[0.603, 0.125, 0.250], [0.147, 0.625, 0.250], [0.375, 0.397, 0.750], [0.875, 0.853, 0.750], [0.500, 0.500, 0.000], [0.250, 0.750, 0.500], [0.000, 0.000, 0.000], [0.750, 0.250, 0.500]], "dft_energy_ev_per_atom": -5.001}

---

{"formula": "NbNiHg", "functional": "PBE", "state": "relaxed", "cell": [[-1.302, -2.239, 1.429], [2.426, -1.650, -0.375], [4.174, 3.890, 9.900]], "species": ["Nb", "Nb", "Ni", "Ni", "Hg", "Hg"], "frac_coords": [[0.000, 0.000, 0.829], [0.500, 0.500, 0.329], [0.000, 0.000, 0.466], [0.500, 0.500, 0.966], [0.000, 0.000, 0.130], [0.500, 0.500, 0.630]], "dft_energy_ev_per_atom": -5.292}

---

{"formula": "NbNiHg", "functional": "PBE", "state": "relaxed", "cell": [[3.453, 0.000, 0.000], [0.000, 13.520, 0.000], [0.000, 0.000, 4.305]], "species": ["Nb", "Nb", "Nb", "Nb", "Ni", "Ni", "Ni", "Ni", "Hg", "Hg", "Hg", "Hg"], "frac_coords": [[0.000, 0.256, 0.250], [0.000, 0.744, 0.750], [0.500, 0.756, 0.250], [0.500, 0.244, 0.750], [0.000, 0.899, 0.250], [0.000, 0.101, 0.750], [0.500, 0.399, 0.250], [0.500, 0.601, 0.750], [0.000, 0.575, 0.250], [0.000, 0.425, 0.750], [0.500, 0.075, 0.250], [0.500, 0.925, 0.750]], "dft_energy_ev_per_atom": -5.273}

---

{"formula": "NbNiHg", "functional": "PBE", "state": "relaxed", "cell": [[2.980, 0.000, 0.000], [0.000, 12.619, 0.000], [0.000, 0.000, 5.484]], "species": ["Nb", "Nb", "Nb", "Nb", "Ni", "Ni", "Ni", "Ni", "Hg", "Hg", "Hg", "Hg"], "frac_coords": [[0.000, 0.000, 0.000], [0.000, 0.000, 0.500], [0.500, 0.500, 0.000], [0.500, 0.500, 0.500], [0.000, 0.364, 0.250], [0.000, 0.636, 0.750], [0.500, 0.864, 0.250], [0.500, 0.136, 0.750], [0.000, 0.682, 0.250], [0.000, 0.318, 0.750], [0.500, 0.182, 0.250], [0.500, 0.818, 0.750]], "dft_energy_ev_per_atom": -5.238}

---

{"formula": "Nb2NiHg", "functional": "PBE", "state": "relaxed", "cell": [[7.413, 0.000, 0.000], [0.000, 7.413, 0.000], [3.706, 3.706, 2.630]], "species": ["Ni", "Ni", "Nb", "Nb", "Nb", "Nb", "Hg", "Hg"], "frac_coords": [[0.500, 0.500, 0.000], [0.250, 0.750, 0.500], [0.583, 0.125, 0.250], [0.167, 0.625, 0.250], [0.375, 0.417, 0.750], [0.875, 0.833, 0.750], [0.000, 0.000, 0.000], [0.750, 0.250, 0.500]], "dft_energy_ev_per_atom": -6.149}

---

{"formula": "NbNiHg", "functional": "PBE", "state": "relaxed", "cell": [[-0.764, 6.445, -11.541], [-1.236, -3.598, -1.928], [-3.404, 0.807, 0.676]], "species": ["Nb", "Nb", "Nb", "Nb", "Ni", "Ni", "Ni", "Ni", "Hg", "Hg", "Hg", "Hg"], "frac_coords": [[0.000, 0.000, 0.500], [0.500, 0.500, 0.500], [0.500, 0.000, 0.000], [0.000, 0.500, 0.000], [0.852, 0.000, 0.000], [0.148, 0.000, 0.000], [0.352, 0.500, 0.000], [0.648, 0.500, 0.000], [0.675, 0.000, 0.500], [0.325, 0.000, 0.500], [0.175, 0.500, 0.500], [0.825, 0.500, 0.500]], "dft_energy_ev_per_atom": -5.250}